! SmLu2Zr | Alexandria via LeMat-Bulk | PBE | optimized geometry; values from VASP
! Excess energy over the best structure of this formula in the dataset, kJ/mol of formula units: 30.2
! Crystal system: tetragonal
&SYSTEM
  ibrav = 0, nat = 4, ntyp = 3
/
ATOMIC_SPECIES
Lu 174.97 Lu.upf
Sm 150.36 Sm.upf
Zr 91.22 Zr.upf
CELL_PARAMETERS angstrom
-3.404 1.947 0.411
-1.549 -2.081 -2.970
-2.346 -5.119 4.809
ATOMIC_POSITIONS angstrom
Lu -0.518 -1.131 1.062
Lu -1.828 -3.988 3.747
Sm -3.649 -2.627 1.125
Zr -2.477 -0.067 -1.279